[1]
Ho2Pt9Au | PBE | optimized geometry

Computed properties:
Density (g/cm³): 18.55
Space group: P4/mmm, No. 123
Total energy (eV for the cell shown): -74.764
Calculated formation energy (meV/atom): -664

Cell lengths 4.0793, 4.0793, 12.2763 Å; angles 90.00, 90.00, 90.00 degrees
Fractional coordinates of all 12 atoms:
Pt (0.5000, 0.5000, 0.6682)
Pt (0.5000, 0.5000, 0.0000)
Pt (0.5000, 0.5000, 0.3318)
Pt (0.0000, 0.5000, 0.1634)
Pt (0.5000, 0.0000, 0.8366)
Pt (0.5000, 0.0000, 0.1634)
Pt (0.0000, 0.5000, 0.5000)
Pt (0.5000, 0.0000, 0.5000)
Pt (0.0000, 0.5000, 0.8366)
Ho (0.0000, 0.0000, 0.3310)
Ho (0.0000, 0.0000, 0.6690)
Au (0.0000, 0.0000, 0.0000)



[2]
Ho12PtAu6 | PBE | optimized geometry

Computed properties:
Density (g/cm³): 9.99
Space group: R-3, No. 148
Total energy (eV for the cell shown): -91.207
Calculated formation energy (meV/atom): -556

Cell lengths 8.3542, 8.3542, 8.3542 Å; angles 99.18, 99.18, 99.18 degrees
Fractional coordinates of all 19 atoms:
Ho (0.9316, 0.0479, 0.6798)
Ho (0.0684, 0.9521, 0.3202)
Ho (0.4200, 0.8196, 0.5726)
Ho (0.0479, 0.6798, 0.9316)
Ho (0.8196, 0.5726, 0.4200)
Ho (0.9521, 0.3202, 0.0684)
Ho (0.1804, 0.4274, 0.5800)
Ho (0.5800, 0.1804, 0.4274)
Ho (0.6798, 0.9316, 0.0479)
Ho (0.4274, 0.5800, 0.1804)
Ho (0.5726, 0.4200, 0.8196)
Ho (0.3202, 0.0684, 0.9521)
Au (0.6191, 0.3052, 0.1342)
Au (0.8658, 0.3809, 0.6948)
Au (0.6948, 0.8658, 0.3809)
Au (0.1342, 0.6191, 0.3052)
Au (0.3052, 0.1342, 0.6191)
Au (0.3809, 0.6948, 0.8658)
Pt (0.0000, 0.0000, 0.0000)



N(E_F) per entry: 16.2 20.7 states/eV/cell